Below is a geometry-optimized As2PtSe structure, with properties calculated at the PBE level.

Geometry as POSCAR:
```
As2PtSe
1.0
3.116 0.000 0.000
0.000 4.773 0.000
0.000 0.000 4.830
As Se Pt
2 1 1
Cartesian
0.000 0.000 0.000
1.558 2.386 0.000
0.000 2.386 2.415
1.558 0.000 2.415
```



Below is a geometry-optimized AsPt2Se structure, with properties calculated at the PBE level.

Geometry as POSCAR:
```
AsPt2Se
1.0
-2.457 3.215 0.277
-3.737 -2.831 -0.300
-1.724 -1.666 4.039
As Se Pt
1 1 2
Cartesian
-5.757 -2.121 3.239
-2.330 -1.919 1.596
-0.046 -0.038 0.032
-2.515 0.548 1.019
```



Below is a geometry-optimized As2PtSe structure, with properties calculated at the PBE level.

Geometry as POSCAR:
```
As2PtSe
1.0
-0.707 4.428 -1.654
-1.277 -1.789 -4.243
-3.005 -0.123 0.956
As Se Pt
2 1 1
Cartesian
0.000 0.000 0.000
-0.992 1.319 -2.949
-2.141 -0.956 -1.644
-1.856 2.153 -0.349
```



no.,DOS at the Fermi energy (states/eV per cell),V (Å³/cell),formation energy (no corrections) (eV/atom)
1,1.4,71.8,0.308
2,1.9,79.9,-0.195
3,1.5,72.1,0.295